(1)
# CdRe2Se meta-GGA SCAN single point on PBEsol structure
# E ... -47.3152 eV per atom
data_CdRe2Se
_chemical_formula_sum 'Cd1 Re2 Se1'
_symmetry_space_group_name_H-M 'P 1'
_symmetry_Int_Tables_number 1
_cell_length_a 2.913
_cell_length_b 4.566
_cell_length_c 5.218
_cell_angle_alpha 99.41
_cell_angle_beta 90.00
_cell_angle_gamma 108.60
loop_
_symmetry_equiv_pos_as_xyz
'x,y,z'
loop_
_atom_site_label
_atom_site_type_symbol
_atom_site_fract_x
_atom_site_fract_y
_atom_site_fract_z
Cd1 Cd 0.000 0.000 0.500
Re1 Re 0.753 0.507 0.784
Re2 Re 0.247 0.493 0.216
Se1 Se 0.500 0.000 0.000

***

(2)
# CdRe3Se meta-GGA SCAN single point on PBEsol structure
# E ... -49.2341 eV per atom
data_CdRe3Se
_chemical_formula_sum 'Cd1 Re3 Se1'
_symmetry_space_group_name_H-M 'P 1'
_symmetry_Int_Tables_number 1
_cell_length_a 4.780
_cell_length_b 4.780
_cell_length_c 4.780
_cell_angle_alpha 90.00
_cell_angle_beta 90.00
_cell_angle_gamma 90.00
loop_
_symmetry_equiv_pos_as_xyz
'x,y,z'
loop_
_atom_site_label
_atom_site_type_symbol
_atom_site_fract_x
_atom_site_fract_y
_atom_site_fract_z
Re1 Re 0.000 0.500 0.000
Re2 Re 0.000 0.000 0.500
Re3 Re 0.500 0.000 0.000
Se1 Se 0.500 0.500 0.500
Cd1 Cd 0.000 0.000 0.000

***

(3)
# CdReSe meta-GGA SCAN single point on PBEsol structure
# Relative energy among the computed polymorphs ... 207 meV per atom
# E ... -39.5147 eV per atom
data_CdReSe
_chemical_formula_sum 'Cd1 Re1 Se1'
_symmetry_space_group_name_H-M 'P 1'
_symmetry_Int_Tables_number 1
_cell_length_a 4.355
_cell_length_b 4.355
_cell_length_c 4.355
_cell_angle_alpha 60.00
_cell_angle_beta 60.00
_cell_angle_gamma 60.00
loop_
_symmetry_equiv_pos_as_xyz
'x,y,z'
loop_
_atom_site_label
_atom_site_type_symbol
_atom_site_fract_x
_atom_site_fract_y
_atom_site_fract_z
Cd1 Cd 0.500 0.500 0.500
Re1 Re 0.750 0.750 0.750
Se1 Se 0.000 0.000 0.000

***

(4)
# Cd2ReSe meta-GGA SCAN single point on PBEsol structure
# Relative energy among the computed polymorphs ... 271 meV per atom
# E ... -37.2616 eV per atom
data_Cd2ReSe
_chemical_formula_sum 'Cd2 Re1 Se1'
_symmetry_space_group_name_H-M 'P 1'
_symmetry_Int_Tables_number 1
_cell_length_a 2.759
_cell_length_b 4.520
_cell_length_c 5.848
_cell_angle_alpha 90.00
_cell_angle_beta 90.00
_cell_angle_gamma 90.00
loop_
_symmetry_equiv_pos_as_xyz
'x,y,z'
loop_
_atom_site_label
_atom_site_type_symbol
_atom_site_fract_x
_atom_site_fract_y
_atom_site_fract_z
Cd1 Cd 0.000 0.000 0.768
Cd2 Cd 0.000 0.000 0.232
Re1 Re 0.500 0.500 0.000
Se1 Se 0.500 0.500 0.500

***

(5)
# Cd2ReSe meta-GGA SCAN single point on PBEsol structure
# Relative energy among the computed polymorphs ... 299 meV per atom
# E ... -37.2341 eV per atom
data_Cd2ReSe
_chemical_formula_sum 'Cd2 Re1 Se1'
_symmetry_space_group_name_H-M 'P 1'
_symmetry_Int_Tables_number 1
_cell_length_a 3.597
_cell_length_b 3.597
_cell_length_c 5.596
_cell_angle_alpha 90.00
_cell_angle_beta 90.00
_cell_angle_gamma 90.00
loop_
_symmetry_equiv_pos_as_xyz
'x,y,z'
loop_
_atom_site_label
_atom_site_type_symbol
_atom_site_fract_x
_atom_site_fract_y
_atom_site_fract_z
Cd1 Cd 0.000 0.000 0.758
Cd2 Cd 0.000 0.000 0.242
Re1 Re 0.500 0.500 0.000
Se1 Se 0.500 0.500 0.500

***

(6)
# Cd2ReSe meta-GGA SCAN single point on PBEsol structure
# Relative energy among the computed polymorphs ... 0 meV per atom
# E ... -37.5329 eV per atom
data_Cd2ReSe
_chemical_formula_sum 'Cd2 Re1 Se1'
_symmetry_space_group_name_H-M 'P 1'
_symmetry_Int_Tables_number 1
_cell_length_a 3.416
_cell_length_b 4.121
_cell_length_c 5.591
_cell_angle_alpha 90.00
_cell_angle_beta 107.79
_cell_angle_gamma 90.00
loop_
_symmetry_equiv_pos_as_xyz
'x,y,z'
loop_
_atom_site_label
_atom_site_type_symbol
_atom_site_fract_x
_atom_site_fract_y
_atom_site_fract_z
Cd1 Cd 0.079 0.000 0.158
Cd2 Cd 0.420 0.500 0.840
Re1 Re 0.814 0.000 0.629
Se1 Se 0.694 0.500 0.387

***

(7)
# CdReSe meta-GGA SCAN single point on PBEsol structure
# Relative energy among the computed polymorphs ... 0 meV per atom
# E ... -39.7219 eV per atom
data_CdReSe
_chemical_formula_sum 'Cd1 Re1 Se1'
_symmetry_space_group_name_H-M 'P 1'
_symmetry_Int_Tables_number 1
_cell_length_a 2.711
_cell_length_b 4.681
_cell_length_c 4.681
_cell_angle_alpha 120.00
_cell_angle_beta 90.00
_cell_angle_gamma 90.00
loop_
_symmetry_equiv_pos_as_xyz
'x,y,z'
loop_
_atom_site_label
_atom_site_type_symbol
_atom_site_fract_x
_atom_site_fract_y
_atom_site_fract_z
Cd1 Cd 0.000 0.000 0.000
Re1 Re 0.500 0.333 0.667
Se1 Se 0.500 0.667 0.333

***

(8)
# Cd2ReSe meta-GGA SCAN single point on PBEsol structure
# Relative energy among the computed polymorphs ... 77 meV per atom
# E ... -37.4557 eV per atom
data_Cd2ReSe
_chemical_formula_sum 'Cd2 Re1 Se1'
_symmetry_space_group_name_H-M 'P 1'
_symmetry_Int_Tables_number 1
_cell_length_a 2.774
_cell_length_b 2.774
_cell_length_c 10.184
_cell_angle_alpha 90.00
_cell_angle_beta 90.00
_cell_angle_gamma 109.13
loop_
_symmetry_equiv_pos_as_xyz
'x,y,z'
loop_
_atom_site_label
_atom_site_type_symbol
_atom_site_fract_x
_atom_site_fract_y
_atom_site_fract_z
Cd1 Cd 0.000 0.000 0.271
Cd2 Cd 0.000 0.000 0.729
Re1 Re 0.500 0.500 0.500
Se1 Se 0.500 0.500 0.000

***

(9)
# CdReSi meta-GGA SCAN single point on PBEsol structure
# E ... -36.8835 eV per atom
data_CdReSi
_chemical_formula_sum 'Cd1 Re1 Si1'
_symmetry_space_group_name_H-M 'P 1'
_symmetry_Int_Tables_number 1
_cell_length_a 3.157
_cell_length_b 3.156
_cell_length_c 5.342
_cell_angle_alpha 107.19
_cell_angle_beta 107.19
_cell_angle_gamma 90.00
loop_
_symmetry_equiv_pos_as_xyz
'x,y,z'
loop_
_atom_site_label
_atom_site_type_symbol
_atom_site_fract_x
_atom_site_fract_y
_atom_site_fract_z
Cd1 Cd 0.001 0.001 0.002
Re1 Re 0.699 0.699 0.397
Si1 Si 0.300 0.300 0.600

***

(10)
# CdReSi2 meta-GGA SCAN single point on PBEsol structure
# E ... -30.0457 eV per atom
data_CdReSi2
_chemical_formula_sum 'Cd1 Re1 Si2'
_symmetry_space_group_name_H-M 'P 1'
_symmetry_Int_Tables_number 1
_cell_length_a 3.223
_cell_length_b 4.285
_cell_length_c 4.896
_cell_angle_alpha 90.00
_cell_angle_beta 108.93
_cell_angle_gamma 90.00
loop_
_symmetry_equiv_pos_as_xyz
'x,y,z'
loop_
_atom_site_label
_atom_site_type_symbol
_atom_site_fract_x
_atom_site_fract_y
_atom_site_fract_z
Cd1 Cd 0.462 0.000 0.545
Re1 Re 0.070 0.500 0.765
Si1 Si 0.191 0.000 0.008
Si2 Si 0.777 0.500 0.183

***

(11)
# CdRe2Si meta-GGA SCAN single point on PBEsol structure
# Relative energy among the computed polymorphs ... 268 meV per atom
# E ... -45.1550 eV per atom
data_CdRe2Si
_chemical_formula_sum 'Cd1 Re2 Si1'
_symmetry_space_group_name_H-M 'P 1'
_symmetry_Int_Tables_number 1
_cell_length_a 3.007
_cell_length_b 4.373
_cell_length_c 5.292
_cell_angle_alpha 114.40
_cell_angle_beta 106.50
_cell_angle_gamma 90.00
loop_
_symmetry_equiv_pos_as_xyz
'x,y,z'
loop_
_atom_site_label
_atom_site_type_symbol
_atom_site_fract_x
_atom_site_fract_y
_atom_site_fract_z
Cd1 Cd 0.238 0.738 0.477
Re1 Re 0.019 0.019 0.039
Re2 Re 0.765 0.265 0.530
Si1 Si 0.477 0.477 0.955

***

(12)
# CdRe2Si meta-GGA SCAN single point on PBEsol structure
# Relative energy among the computed polymorphs ... 158 meV per atom
# E ... -45.2643 eV per atom
data_CdRe2Si
_chemical_formula_sum 'Cd1 Re2 Si1'
_symmetry_space_group_name_H-M 'P 1'
_symmetry_Int_Tables_number 1
_cell_length_a 2.924
_cell_length_b 4.567
_cell_length_c 5.323
_cell_angle_alpha 115.40
_cell_angle_beta 105.94
_cell_angle_gamma 90.00
loop_
_symmetry_equiv_pos_as_xyz
'x,y,z'
loop_
_atom_site_label
_atom_site_type_symbol
_atom_site_fract_x
_atom_site_fract_y
_atom_site_fract_z
Cd1 Cd 0.000 0.500 0.000
Re1 Re 0.788 0.788 0.576
Re2 Re 0.212 0.212 0.424
Si1 Si 0.500 0.000 0.000

***

(13)
# CdRe2Si meta-GGA SCAN single point on PBEsol structure
# Relative energy among the computed polymorphs ... 453 meV per atom
# E ... -44.9696 eV per atom
data_CdRe2Si
_chemical_formula_sum 'Cd1 Re2 Si1'
_symmetry_space_group_name_H-M 'P 1'
_symmetry_Int_Tables_number 1
_cell_length_a 3.102
_cell_length_b 4.345
_cell_length_c 4.345
_cell_angle_alpha 90.00
_cell_angle_beta 90.00
_cell_angle_gamma 90.00
loop_
_symmetry_equiv_pos_as_xyz
'x,y,z'
loop_
_atom_site_label
_atom_site_type_symbol
_atom_site_fract_x
_atom_site_fract_y
_atom_site_fract_z
Cd1 Cd 0.500 0.000 0.000
Re1 Re 0.000 0.000 0.500
Re2 Re 0.000 0.500 0.000
Si1 Si 0.500 0.500 0.500

***

(14)
# CdReSi2 meta-GGA SCAN single point on PBEsol structure
# E ... -29.7193 eV per atom
data_CdReSi2
_chemical_formula_sum 'Cd2 Re2 Si4'
_symmetry_space_group_name_H-M 'P 1'
_symmetry_Int_Tables_number 1
_cell_length_a 4.114
_cell_length_b 4.114
_cell_length_c 8.745
_cell_angle_alpha 103.61
_cell_angle_beta 103.61
_cell_angle_gamma 90.00
loop_
_symmetry_equiv_pos_as_xyz
'x,y,z'
loop_
_atom_site_label
_atom_site_type_symbol
_atom_site_fract_x
_atom_site_fract_y
_atom_site_fract_z
Re1 Re 0.250 0.750 0.500
Re2 Re 0.000 0.000 0.000
Si1 Si 0.305 0.875 0.250
Si2 Si 0.945 0.375 0.250
Si3 Si 0.125 0.055 0.750
Si4 Si 0.625 0.695 0.750
Cd1 Cd 0.750 0.250 0.500
Cd2 Cd 0.500 0.500 0.000

***

(15)
# CdReSi2 meta-GGA SCAN single point on PBEsol structure
# E ... -29.9343 eV per atom
data_CdReSi2
_chemical_formula_sum 'Cd1 Re1 Si2'
_symmetry_space_group_name_H-M 'P 1'
_symmetry_Int_Tables_number 1
_cell_length_a 2.865
_cell_length_b 2.865
_cell_length_c 8.691
_cell_angle_alpha 90.00
_cell_angle_beta 90.00
_cell_angle_gamma 112.37
loop_
_symmetry_equiv_pos_as_xyz
'x,y,z'
loop_
_atom_site_label
_atom_site_type_symbol
_atom_site_fract_x
_atom_site_fract_y
_atom_site_fract_z
Cd1 Cd 0.500 0.500 0.500
Re1 Re 0.500 0.500 0.000
Si1 Si 0.000 0.000 0.212
Si2 Si 0.000 0.000 0.788

***

(16)
# CdRe2Si meta-GGA SCAN single point on PBEsol structure
# Relative energy among the computed polymorphs ... 0 meV per atom
# E ... -45.4227 eV per atom
data_CdRe2Si
_chemical_formula_sum 'Cd1 Re2 Si1'
_symmetry_space_group_name_H-M 'P 1'
_symmetry_Int_Tables_number 1
_cell_length_a 3.000
_cell_length_b 3.000
_cell_length_c 6.813
_cell_angle_alpha 90.00
_cell_angle_beta 90.00
_cell_angle_gamma 90.00
loop_
_symmetry_equiv_pos_as_xyz
'x,y,z'
loop_
_atom_site_label
_atom_site_type_symbol
_atom_site_fract_x
_atom_site_fract_y
_atom_site_fract_z
Cd1 Cd 0.500 0.500 0.742
Re1 Re 0.000 0.000 0.029
Re2 Re 0.500 0.500 0.269
Si1 Si 0.000 0.000 0.460

***

(17)
# Sr2CdRe meta-GGA SCAN single point on PBEsol structure
# E_form ... 0.730 eV per atom
# E ... -35.7852 eV per atom
data_Sr2CdRe
_chemical_formula_sum 'Sr2 Cd1 Re1'
_symmetry_space_group_name_H-M 'P 1'
_symmetry_Int_Tables_number 1
_cell_length_a 3.044
_cell_length_b 5.269
_cell_length_c 6.106
_cell_angle_alpha 90.00
_cell_angle_beta 89.97
_cell_angle_gamma 90.00
loop_
_symmetry_equiv_pos_as_xyz
'x,y,z'
loop_
_atom_site_label
_atom_site_type_symbol
_atom_site_fract_x
_atom_site_fract_y
_atom_site_fract_z
Cd1 Cd 0.375 0.000 0.488
Re1 Re 0.375 0.500 0.767
Sr1 Sr 0.875 0.000 0.944
Sr2 Sr 0.875 0.500 0.301

***

(18)
# Sr2CdRe meta-GGA SCAN single point on PBEsol structure
# E_form ... 0.712 eV per atom
# E ... -35.8037 eV per atom
data_Sr2CdRe
_chemical_formula_sum 'Sr2 Cd1 Re1'
_symmetry_space_group_name_H-M 'P 1'
_symmetry_Int_Tables_number 1
_cell_length_a 3.420
_cell_length_b 3.420
_cell_length_c 8.958
_cell_angle_alpha 90.00
_cell_angle_beta 90.00
_cell_angle_gamma 90.00
loop_
_symmetry_equiv_pos_as_xyz
'x,y,z'
loop_
_atom_site_label
_atom_site_type_symbol
_atom_site_fract_x
_atom_site_fract_y
_atom_site_fract_z
Cd1 Cd 0.500 0.500 0.000
Re1 Re 0.500 0.500 0.500
Sr1 Sr 0.000 0.000 0.723
Sr2 Sr 0.000 0.000 0.277

***

(19)
# SrCd2Re meta-GGA SCAN single point on PBEsol structure
# E_form ... 0.697 eV per atom
# Relative energy among the computed polymorphs ... 25 meV per atom
# E ... -37.8534 eV per atom
data_SrCd2Re
_chemical_formula_sum 'Sr1 Cd2 Re1'
_symmetry_space_group_name_H-M 'P 1'
_symmetry_Int_Tables_number 1
_cell_length_a 2.969
_cell_length_b 5.329
_cell_length_c 6.184
_cell_angle_alpha 115.52
_cell_angle_beta 103.89
_cell_angle_gamma 90.00
loop_
_symmetry_equiv_pos_as_xyz
'x,y,z'
loop_
_atom_site_label
_atom_site_type_symbol
_atom_site_fract_x
_atom_site_fract_y
_atom_site_fract_z
Cd1 Cd 0.017 0.017 0.035
Cd2 Cd 0.766 0.266 0.532
Re1 Re 0.482 0.482 0.964
Sr1 Sr 0.235 0.735 0.470

***

(20)
# SrCd2Re meta-GGA SCAN single point on PBEsol structure
# E_form ... 0.672 eV per atom
# Relative energy among the computed polymorphs ... 0 meV per atom
# E ... -37.8786 eV per atom
data_SrCd2Re
_chemical_formula_sum 'Sr1 Cd2 Re1'
_symmetry_space_group_name_H-M 'P 1'
_symmetry_Int_Tables_number 1
_cell_length_a 4.527
_cell_length_b 5.252
_cell_length_c 4.527
_cell_angle_alpha 64.47
_cell_angle_beta 90.00
_cell_angle_gamma 115.53
loop_
_symmetry_equiv_pos_as_xyz
'x,y,z'
loop_
_atom_site_label
_atom_site_type_symbol
_atom_site_fract_x
_atom_site_fract_y
_atom_site_fract_z
Cd1 Cd 0.250 0.500 0.250
Cd2 Cd 0.750 0.500 0.750
Re1 Re 0.500 0.000 0.500
Sr1 Sr 0.000 0.000 0.000